[1]
The following is a SCAN calculation of a PBEsol-optimized structure of ZrNbSb2, from Alexandria via LeMat-Bulk.

The structure belongs to space group Fm-3m (No. 225); the cell edges are 6.8902, 6.8902 and 6.8902 Å and the angles 90.00°, 90.00° and 90.00°. The distinct sites, in fractional coordinates, are Zr at (0.0000, 0.0000, 0.0000), Nb at (0.0000, 0.0000, 0.5000) and Sb at (0.2500, 0.2500, 0.2500).

As for the energy above the most stable polymorph in this dataset: 0.0000 eV/atom.



[2]
The following is a SCAN calculation of a PBEsol-optimized structure of ZrNbSb2, from Alexandria via LeMat-Bulk.

The structure belongs to space group I-42d (No. 122); the cell edges are 6.1381, 6.1381 and 13.5079 Å and the angles 90.00°, 90.00° and 90.00°. The distinct sites, in fractional coordinates, are Zr at (0.0000, 0.0000, 0.0000), Nb at (0.0000, 0.0000, 0.5000) and Sb at (0.2340, 0.2500, 0.6250).

As for the energy above the most stable polymorph in this dataset: 0.7903 eV/atom.



[3]
The following is a SCAN calculation of a PBEsol-optimized structure of Sc2Nb3Si4, from Alexandria via LeMat-Bulk.

The structure belongs to space group Pnma (No. 62); the cell edges are 6.6595, 13.0270 and 6.8497 Å and the angles 90.00°, 90.00° and 90.00°. The distinct sites, in fractional coordinates, are Sc at (0.0020, 0.0956, 0.1740), Nb at (0.1621, 0.7500, 0.4947), Nb at (0.1631, 0.1252, 0.6754), Si at (0.0394, 0.7500, 0.1119), Si at (0.1682, 0.5394, 0.4677) and Si at (0.2051, 0.2500, 0.3622).

Its total energy is -0.716 hartree per atom.



[4]
The following is a SCAN calculation of a PBEsol-optimized structure of ScNb2Si2, from Alexandria via LeMat-Bulk.

The structure belongs to space group P4/mbm (No. 127); the cell edges are 6.8619, 6.8619 and 3.4304 Å and the angles 90.00°, 90.00° and 90.00°. The distinct sites, in fractional coordinates, are Sc at (0.0000, 0.0000, 0.0000), Nb at (0.1694, 0.3306, 0.5000) and Si at (0.1252, 0.6252, 0.0000).

Its total energy is -0.766 hartree per atom.



[5]
The following is a SCAN calculation of a PBEsol-optimized structure of ScTaNb2, from Alexandria via LeMat-Bulk.

The structure belongs to space group Fm-3m (No. 225); the cell edges are 6.6410, 6.6410 and 6.6410 Å and the angles 90.00°, 90.00° and 90.00°. The distinct sites, in fractional coordinates, are Sc at (0.0000, 0.0000, 0.0000), Ta at (0.0000, 0.0000, 0.5000) and Nb at (0.2500, 0.2500, 0.2500).

For the formation energy, the calculation gives 15.3 kJ/mol of atoms.



[6]
The following is a SCAN calculation of a PBEsol-optimized structure of ScNbTc3, from Alexandria via LeMat-Bulk.

The structure belongs to space group Pm-3m (No. 221); the cell edges are 4.6554, 4.6554 and 4.6554 Å and the angles 90.00°, 90.00° and 90.00°. The distinct sites, in fractional coordinates, are Sc at (0.0000, 0.0000, 0.0000), Nb at (0.5000, 0.5000, 0.5000) and Tc at (0.0000, 0.5000, 0.5000).

For the formation energy, the calculation gives 123.6 kJ/mol of atoms.